Record 1
InSb2Ir at its PBEsol-relaxed geometry, computed with meta-GGA SCAN.

The uncorrected formation energy is 0.08 eV/atom.

The space group is I-42d (No. 122) and the conventional cell measures 6.3667, 6.3667 and 11.7805 Å, with angles of 90.00, 90.00 and 90.00 degrees. The inequivalent atoms are In at (0.0000, 0.0000, 0.0000), Sb at (0.2013, 0.2500, 0.6250) and Ir at (0.0000, 0.0000, 0.5000).

---

Record 2
InSbIr2 at its PBEsol-relaxed geometry, computed with meta-GGA SCAN.

The uncorrected formation energy is 0.53 eV/atom. The value obtained for the relative energy among the computed polymorphs is 168.1 kJ/mol of formula units.

The space group is I-42d (No. 122) and the conventional cell measures 6.0583, 6.0583 and 11.0371 Å, with angles of 90.00, 90.00 and 90.00 degrees. The inequivalent atoms are In at (0.0000, 0.0000, 0.0000), Sb at (0.0000, 0.0000, 0.5000) and Ir at (0.2374, 0.2500, 0.6250).

---

Record 3
InSb2Ir at its PBEsol-relaxed geometry, computed with meta-GGA SCAN.

The uncorrected formation energy is 0.12 eV/atom.

The space group is Pmmm (No. 47) and the conventional cell measures 3.2723, 3.2863 and 8.2213 Å, with angles of 90.00, 90.00 and 90.00 degrees. The inequivalent atoms are In at (0.0000, 0.0000, 0.0000), Sb at (0.5000, 0.5000, 0.3037) and Ir at (0.0000, 0.0000, 0.5000).

---

Record 4
InSb2Ir at its PBEsol-relaxed geometry, computed with meta-GGA SCAN.

The uncorrected formation energy is 0.51 eV/atom.

The space group is P4/mmm (No. 123) and the conventional cell measures 4.2679, 4.2679 and 4.6560 Å, with angles of 90.00, 90.00 and 90.00 degrees. The inequivalent atoms are In at (0.0000, 0.0000, 0.0000), Sb at (0.0000, 0.5000, 0.5000) and Ir at (0.5000, 0.5000, 0.0000).